a | First-principles (GGA-PBE) data for Y2SbSe after structural relaxation, as listed in the Alexandria database.

Lattice parameters (Å, degrees): 5.317 5.317 5.317 126.81 114.82 88.91
Atoms (fractional coordinates):
Sb  0.750  0.250  0.500
Se  0.250  0.750  0.500
Y  0.011  0.011  0.000
Y  0.489  0.489  0.000

=====

b | First-principles (GGA-PBE) data for Y2SbSe after structural relaxation, as listed in the Alexandria database.

Lattice parameters (Å, degrees): 5.243 5.243 5.243 60.00 60.00 60.00
Atoms (fractional coordinates):
Y  0.250  0.250  0.250
Y  0.750  0.750  0.750
Sb  0.500  0.500  0.500
Se  0.000  0.000  0.000

=====

Most stable: a (next structure +8 meV/atom)

=====

a | First-principles (GGA-PBE) data for YSb3Se after structural relaxation, as listed in the Alexandria database.

Lattice parameters (Å, degrees): 5.363 5.363 5.363 90.00 90.00 90.00
Atoms (fractional coordinates):
Y  0.500  0.500  0.500
Sb  0.000  0.500  0.000
Sb  0.000  0.000  0.500
Sb  0.500  0.000  0.000
Se  0.000  0.000  0.000

=====

b | First-principles (GGA-PBE) data for YSb3Se after structural relaxation, as listed in the Alexandria database.

Lattice parameters (Å, degrees): 5.759 5.759 5.759 90.00 90.00 90.00
Atoms (fractional coordinates):
Y  0.000  0.000  0.000
Sb  0.000  0.500  0.000
Sb  0.000  0.000  0.500
Sb  0.500  0.000  0.000
Se  0.500  0.500  0.500

=====

Most stable: a (next structure +416 meV/atom)

=====

a | First-principles (GGA-PBE) data for ZnSbSe2 after structural relaxation, as listed in the Alexandria database.

Lattice parameters (Å, degrees): 7.966 7.966 7.966 28.53 28.53 28.53
Atoms (fractional coordinates):
Sb  0.753  0.753  0.753
Se  0.014  0.014  0.014
Se  0.219  0.219  0.219
Zn  0.514  0.514  0.514

=====

b | First-principles (GGA-PBE) data for ZnSbSe2 after structural relaxation, as listed in the Alexandria database.

Lattice parameters (Å, degrees): 3.603 3.603 8.734 90.00 90.00 113.69
Atoms (fractional coordinates):
Sb  0.500  0.500  0.750
Se  0.000  0.000  0.964
Se  0.500  0.500  0.319
Zn  0.000  0.000  0.467

=====

c | First-principles (GGA-PBE) data for ZnSbSe2 after structural relaxation, as listed in the Alexandria database.

Lattice parameters (Å, degrees): 6.951 6.951 6.562 58.02 58.02 90.00
Atoms (fractional coordinates):
Sb  0.000  0.000  0.000
Sb  0.750  0.250  0.500
Zn  0.500  0.500  0.000
Zn  0.250  0.750  0.500
Se  0.585  0.125  0.250
Se  0.165  0.625  0.250
Se  0.375  0.415  0.750
Se  0.875  0.835  0.750

=====

d | First-principles (GGA-PBE) data for ZnSbSe2 after structural relaxation, as listed in the Alexandria database.

Lattice parameters (Å, degrees): 4.976 4.976 4.976 60.00 60.00 60.00
Atoms (fractional coordinates):
Sb  0.500  0.500  0.500
Se  0.000  0.000  0.000
Se  0.250  0.250  0.250
Zn  0.750  0.750  0.750

=====

Most stable: a (next structure +52 meV/atom)

=====

a | First-principles (GGA-PBE) data for ZnSbSe2 after structural relaxation, as listed in the Alexandria database.

Lattice parameters (Å, degrees): 4.933 4.938 4.932 72.02 67.54 107.98
Atoms (fractional coordinates):
Sb  0.500  0.500  0.000
Se  0.000  0.000  0.000
Se  0.500  0.000  0.500
Zn  0.000  0.500  0.500

=====

b | First-principles (GGA-PBE) data for ZnSbSe2 after structural relaxation, as listed in the Alexandria database.

Lattice parameters (Å, degrees): 4.027 4.928 4.929 70.78 90.00 90.00
Atoms (fractional coordinates):
Sb  0.500  0.750  0.750
Se  0.000  0.005  0.005
Se  0.000  0.495  0.495
Zn  0.500  0.250  0.250

=====

c | First-principles (GGA-PBE) data for ZnSbSe2 after structural relaxation, as listed in the Alexandria database.

Lattice parameters (Å, degrees): 8.624 8.624 8.624 25.01 25.01 25.01
Atoms (fractional coordinates):
Sb  0.000  0.000  0.000
Zn  0.500  0.500  0.500
Se  0.891  0.891  0.891
Se  0.109  0.109  0.109

=====

Most stable: b (next structure +12 meV/atom)

=====

a | First-principles (GGA-PBE) data for ZnSbSe3 after structural relaxation, as listed in the Alexandria database.

Lattice parameters (Å, degrees): 5.314 5.314 5.314 90.00 90.00 90.00
Atoms (fractional coordinates):
Sb  0.000  0.000  0.000
Zn  0.500  0.500  0.500
Se  0.000  0.500  0.000
Se  0.000  0.000  0.500
Se  0.500  0.000  0.000

=====

b | First-principles (GGA-PBE) data for ZnSbSe3 after structural relaxation, as listed in the Alexandria database.

Lattice parameters (Å, degrees): 4.913 4.913 4.913 90.00 90.00 90.00
Atoms (fractional coordinates):
Sb  0.500  0.500  0.500
Zn  0.000  0.000  0.000
Se  0.000  0.500  0.000
Se  0.000  0.000  0.500
Se  0.500  0.000  0.000

=====

Most stable: b (next structure +191 meV/atom)

=====

a | First-principles (GGA-PBE) data for ZrSbSe4 after structural relaxation, as listed in the Alexandria database.

Lattice parameters (Å, degrees): 5.704 5.704 5.704 60.00 60.00 60.00
Atoms (fractional coordinates):
Zr  0.750  0.750  0.750
Sb  0.000  0.000  0.000
Se  0.870  0.377  0.377
Se  0.377  0.377  0.870
Se  0.377  0.870  0.377
Se  0.377  0.377  0.377

=====

b | First-principles (GGA-PBE) data for ZrSbSe4 after structural relaxation, as listed in the Alexandria database.

Lattice parameters (Å, degrees): 6.843 6.788 6.696 90.00 90.27 90.00
Atoms (fractional coordinates):
Zr  0.000  0.000  0.000
Zr  0.500  0.500  0.000
Sb  0.500  0.000  0.500
Sb  0.000  0.500  0.500
Se  0.848  0.649  0.120
Se  0.652  0.149  0.880
Se  0.377  0.379  0.359
Se  0.123  0.879  0.641
Se  0.152  0.351  0.880
Se  0.348  0.851  0.120
Se  0.623  0.621  0.641
Se  0.877  0.121  0.359

=====

Most stable: b (next structure +936 meV/atom)

=====

a | First-principles (GGA-PBE) data for ZrSb3Se after structural relaxation, as listed in the Alexandria database.

Lattice parameters (Å, degrees): 5.288 5.288 5.288 90.00 90.00 90.00
Atoms (fractional coordinates):
Sb  0.000  0.500  0.000
Sb  0.000  0.000  0.500
Sb  0.500  0.000  0.000
Se  0.000  0.000  0.000
Zr  0.500  0.500  0.500

=====

b | First-principles (GGA-PBE) data for ZrSb3Se after structural relaxation, as listed in the Alexandria database.

Lattice parameters (Å, degrees): 5.509 5.509 5.509 90.00 90.00 90.00
Atoms (fractional coordinates):
Sb  0.000  0.500  0.000
Sb  0.000  0.000  0.500
Sb  0.500  0.000  0.000
Se  0.500  0.500  0.500
Zr  0.000  0.000  0.000

=====

Most stable: b (next structure +234 meV/atom)

=====

a | First-principles (GGA-PBE) data for SiSb4 after structural relaxation, as listed in the Alexandria database.

Lattice parameters (Å, degrees): 5.219 5.219 5.219 90.00 90.00 90.00
Atoms (fractional coordinates):
Sb  0.000  0.000  0.000
Sb  0.500  0.000  0.500
Sb  0.000  0.500  0.500
Sb  0.500  0.500  0.000
Si  0.500  0.500  0.500

=====

b | First-principles (GGA-PBE) data for SiSb4 after structural relaxation, as listed in the Alexandria database.

Lattice parameters (Å, degrees): 6.301 6.301 6.301 94.62 94.62 147.02
Atoms (fractional coordinates):
Si  0.000  0.000  0.000
Sb  0.753  0.420  0.173
Sb  0.420  0.247  0.667
Sb  0.247  0.580  0.827
Sb  0.580  0.753  0.333

=====

c | First-principles (GGA-PBE) data for SiSb4 after structural relaxation, as listed in the Alexandria database.

Lattice parameters (Å, degrees): 5.720 5.720 5.720 109.47 109.47 109.47
Atoms (fractional coordinates):
Si  0.000  0.000  0.000
Sb  0.000  0.500  0.000
Sb  0.000  0.000  0.500
Sb  0.500  0.500  0.500
Sb  0.500  0.000  0.000

=====

Most stable: b (next structure +35 meV/atom)

=====

a | First-principles (GGA-PBE) data for Si5Sb3 after structural relaxation, as listed in the Alexandria database.

Lattice parameters (Å, degrees): 5.914 5.914 5.069 90.00 90.00 115.21
Atoms (fractional coordinates):
Si  0.000  0.000  0.000
Si  0.000  0.500  0.000
Si  0.500  0.000  0.000
Si  0.194  0.194  0.500
Si  0.806  0.806  0.500
Sb  0.500  0.500  0.000
Sb  0.725  0.275  0.500
Sb  0.275  0.725  0.500

=====

b | First-principles (GGA-PBE) data for Si5Sb3 after structural relaxation, as listed in the Alexandria database.

Lattice parameters (Å, degrees): 9.001 9.001 4.884 90.00 90.00 120.00
Atoms (fractional coordinates):
Sb  0.626  0.000  0.250
Sb  0.374  0.000  0.750
Sb  0.000  0.626  0.250
Sb  0.374  0.374  0.250
Sb  0.626  0.626  0.750
Sb  0.000  0.374  0.750
Si  0.333  0.667  0.000
Si  0.667  0.333  0.500
Si  0.667  0.333  0.000
Si  0.333  0.667  0.500
Si  0.163  0.000  0.250
Si  0.837  0.000  0.750
Si  0.000  0.163  0.250
Si  0.837  0.837  0.250
Si  0.163  0.163  0.750
Si  0.000  0.837  0.750

=====

Most stable: b (next structure +15 meV/atom)

=====

a | First-principles (GGA-PBE) data for Si3Sb2 after structural relaxation, as listed in the Alexandria database.

Lattice parameters (Å, degrees): 8.620 8.620 8.620 25.86 25.86 25.86
Atoms (fractional coordinates):
Si  0.000  0.000  0.000
Si  0.814  0.814  0.814
Si  0.186  0.186  0.186
Sb  0.399  0.399  0.399
Sb  0.601  0.601  0.601

=====

b | First-principles (GGA-PBE) data for Si3Sb2 after structural relaxation, as listed in the Alexandria database.

Lattice parameters (Å, degrees): 4.790 4.790 5.718 90.00 90.00 120.00
Atoms (fractional coordinates):
Si  0.000  0.000  0.000
Si  0.667  0.333  0.787
Si  0.333  0.667  0.213
Sb  0.667  0.333  0.269
Sb  0.333  0.667  0.731

=====

Most stable: a (next structure +250 meV/atom)

=====

a | First-principles (GGA-PBE) data for SiSnSb2 after structural relaxation, as listed in the Alexandria database.

Lattice parameters (Å, degrees): 5.168 5.168 5.168 60.00 60.00 60.00
Atoms (fractional coordinates):
Sb  0.250  0.250  0.250
Sb  0.750  0.750  0.750
Si  0.000  0.000  0.000
Sn  0.500  0.500  0.500

=====

b | First-principles (GGA-PBE) data for SiSnSb2 after structural relaxation, as listed in the Alexandria database.

Lattice parameters (Å, degrees): 7.387 7.387 6.840 57.32 57.32 90.00
Atoms (fractional coordinates):
Sb  0.575  0.125  0.250
Sb  0.175  0.625  0.250
Sb  0.375  0.425  0.750
Sb  0.875  0.825  0.750
Si  0.500  0.500  0.000
Si  0.250  0.750  0.500
Sn  0.000  0.000  0.000
Sn  0.750  0.250  0.500

=====

Most stable: b (next structure +115 meV/atom)

=====

a | First-principles (GGA-PBE) data for Sr2SiSb after structural relaxation, as listed in the Alexandria database.

Lattice parameters (Å, degrees): 5.185 4.459 5.186 90.00 90.00 90.00
Atoms (fractional coordinates):
Sb  0.000  0.625  0.375
Si  0.500  0.625  0.875
Sr  0.000  0.125  0.875
Sr  0.500  0.125  0.375

=====

b | First-principles (GGA-PBE) data for Sr2SiSb after structural relaxation, as listed in the Alexandria database.

Lattice parameters (Å, degrees): 4.951 4.951 7.964 80.16 80.16 44.10
Atoms (fractional coordinates):
Sb  0.250  0.250  0.250
Si  0.750  0.750  0.750
Sr  0.005  0.005  0.986
Sr  0.495  0.495  0.514

=====

Most stable: a (next structure +165 meV/atom)